The following is a DFT calculation (PBE) of a geometry-optimized CaMo2CN structure.

* symmetry: P4/mmm, No. 123
* formation energy without anion corrections: 3.93 eV/atom
* density: 4.97 g cm⁻³
* total magnetic moment: 0.00 μB per formula unit
* volume: 86.2 Å³ per cell

CIF file:
```
data_CaMo2CN
_chemical_formula_sum 'Ca1 Mo2 C1 N1'
_symmetry_space_group_name_H-M 'P 1'
_symmetry_Int_Tables_number 1
_symmetry_space_group_name_Hall 'P 1'
_cell_length_a 4.699
_cell_length_b 3.904
_cell_length_c 4.699
_cell_angle_alpha 90.00
_cell_angle_beta 90.00
_cell_angle_gamma 90.00
loop_
_atom_site_label
_atom_site_fract_x
_atom_site_fract_y
_atom_site_fract_z
C1 0.000 0.500 0.000
Mo1 0.000 0.000 0.500
Mo2 0.500 0.000 0.000
Ca1 0.000 0.000 0.000
N1 0.500 0.500 0.500
```

The following is a DFT calculation (PBE) of a geometry-optimized ZrZnPdRh structure.

* formation energy: -0.705 eV per atom
* symmetry: I-4m2, No. 119
* density: 9.42 g cm⁻³
* total magnetic moment: 0.00 μB per formula unit
* volume: 64.5 Å³ per cell

CIF file:
```
data_ZrZnPdRh
_chemical_formula_sum 'Zr1 Zn1 Pd1 Rh1'
_symmetry_space_group_name_H-M 'P 1'
_symmetry_Int_Tables_number 1
_symmetry_space_group_name_Hall 'P 1'
_cell_length_a 4.181
_cell_length_b 4.181
_cell_length_c 4.728
_cell_angle_alpha 116.24
_cell_angle_beta 116.24
_cell_angle_gamma 90.00
loop_
_atom_site_label
_atom_site_fract_x
_atom_site_fract_y
_atom_site_fract_z
Zr1 0.250 0.750 0.500
Zn1 0.750 0.250 0.500
Pd1 0.500 0.500 0.000
Rh1 0.000 0.000 0.000
```

The following is a DFT calculation (PBE) of a geometry-optimized PrTh2OsN5 structure.

* symmetry: I4/mcm, No. 140
* formation energy without anion corrections: -0.97 eV/atom
* density: 10.50 g cm⁻³
* total magnetic moment: 0.00 μB per formula unit
* volume: 273.5 Å³ per cell

CIF file:
```
data_PrTh2OsN5
_chemical_formula_sum 'Pr2 Th4 Os2 N10'
_symmetry_space_group_name_H-M 'P 1'
_symmetry_Int_Tables_number 1
_symmetry_space_group_name_Hall 'P 1'
_cell_length_a 6.777
_cell_length_b 6.777
_cell_length_c 7.645
_cell_angle_alpha 116.31
_cell_angle_beta 116.31
_cell_angle_gamma 90.00
loop_
_atom_site_label
_atom_site_fract_x
_atom_site_fract_y
_atom_site_fract_z
Pr1 0.250 0.250 0.500
Pr2 0.750 0.750 0.500
Th1 0.180 0.320 0.000
Th2 0.680 0.180 0.000
Th3 0.320 0.820 0.000
Th4 0.820 0.680 0.000
Os1 0.250 0.750 0.500
Os2 0.750 0.250 0.500
N1 0.993 0.493 0.274
N2 0.719 0.219 0.726
N3 0.007 0.507 0.726
N4 0.219 0.007 0.726
N5 0.507 0.719 0.726
N6 0.781 0.993 0.274
N7 0.493 0.281 0.274
N8 0.281 0.781 0.274
N9 0.500 0.500 0.000
N10 0.000 0.000 0.000
```